First-principles (PBE) data for KAcMg after structural relaxation, as listed in Alexandria.

CIF file:
```
data_KAcMg
_cell_length_a 4.176
_cell_length_b 4.176
_cell_length_c 16.487
_cell_angle_alpha 104.58
_cell_angle_beta 104.58
_cell_angle_gamma 89.98
_space_group_name_H-M_alt 'P 1'
_space_group_IT_number 1
loop_
_space_group_symop_operation_xyz
'x,y,z'
loop_
_atom_site_label
_atom_site_type_symbol
_atom_site_fract_x
_atom_site_fract_y
_atom_site_fract_z
_atom_site_occupancy
Mg1 Mg 0.039 0.039 0.788 1
Mg2 Mg 0.961 0.961 0.212 1
Ac1 Ac 0.666 0.666 0.915 1
Ac2 Ac 0.334 0.334 0.085 1
K1 K 0.625 0.625 0.377 1
K2 K 0.375 0.375 0.623 1
```

space-group type = C2/m
electronic total energy = -2.1880 eV per atom

First-principles (PBE) data for KTaAg after structural relaxation, as listed in Alexandria.

CIF file:
```
data_KTaAg
_cell_length_a 6.956
_cell_length_b 6.956
_cell_length_c 6.956
_cell_angle_alpha 156.94
_cell_angle_beta 141.80
_cell_angle_gamma 45.09
_space_group_name_H-M_alt 'P 1'
_space_group_IT_number 1
loop_
_space_group_symop_operation_xyz
'x,y,z'
loop_
_atom_site_label
_atom_site_type_symbol
_atom_site_fract_x
_atom_site_fract_y
_atom_site_fract_z
_atom_site_occupancy
Ag1 Ag 0.046 0.046 0.000 1
Ta1 Ta 0.616 0.616 0.000 1
K1 K 0.338 0.338 0.000 1
```

space-group type = Imm2
energy above the most stable polymorph in this dataset = 117.9 meV/atom

First-principles (PBE) data for Li2CoRu after structural relaxation, as listed in Alexandria.

CIF file:
```
data_Li2CoRu
_cell_length_a 2.552
_cell_length_b 2.552
_cell_length_c 8.999
_cell_angle_alpha 90.00
_cell_angle_beta 90.00
_cell_angle_gamma 117.67
_space_group_name_H-M_alt 'P 1'
_space_group_IT_number 1
loop_
_space_group_symop_operation_xyz
'x,y,z'
loop_
_atom_site_label
_atom_site_type_symbol
_atom_site_fract_x
_atom_site_fract_y
_atom_site_fract_z
_atom_site_occupancy
Ru1 Ru 0.500 0.500 0.250 1
Co1 Co 0.500 0.500 0.750 1
Li1 Li 0.000 0.000 0.504 1
Li2 Li 0.000 0.000 0.996 1
```

space-group type = Cmmm
energy above the most stable polymorph in this dataset = 57.4 meV/atom